1.
6
Lattice="4.8969 0.6441 2.5412 3.0025 3.9217 2.5412 12.3595 7.1437 15.1376" Properties=species:S:1:pos:R:3 comment="PBE-GGA ZnHS, relaxed" dos_ef_per_ev_atom=0.000 m_tot_mub_per_cell=0.00 crystal_system=monoclinic total_energy_ev_per_cell=-18.54 rho_g_cm3=2.64 pbc="T T T"
Zn 9.1089 5.2648 10.3466
Zn 11.1500 6.4446 9.8735
H 11.0205 6.3697 12.5073
H 9.2384 5.3397 7.7128
S 8.3842 4.8460 6.7772
S 11.8746 6.8634 13.4429

---

2.
4
Lattice="-0.4237 -3.9697 1.4683 -2.9680 -2.5686 -1.6393 1.1478 -3.2993 -2.4272" Properties=species:S:1:pos:R:3 comment="PBE-GGA ZnHS2, relaxed" dos_ef_per_ev_atom=0.655 m_tot_mub_per_cell=0.55 crystal_system=cubic total_energy_ev_per_cell=-9.87 rho_g_cm3=3.98 relative_energy_kcal_per_mol_atoms=18.70 pbc="T T T"
H 0.0000 0.0000 0.0000
Zn -1.1219 -4.9188 -1.2991
S -0.5610 -2.4594 -0.6496
S -1.6829 -7.3783 -1.9487

---

3.
6
Lattice="5.0629 0.0000 0.0000 0.0000 3.6042 0.0000 -2.5315 0.0000 4.8208" Properties=species:S:1:pos:R:3 comment="PBE-GGA ZnHS, relaxed" dos_ef_per_ev_atom=0.099 m_tot_mub_per_cell=0.00 crystal_system=orthorhombic total_energy_ev_per_cell=-18.15 rho_g_cm3=3.72 pbc="T T T"
Zn 0.0000 1.5883 3.8407
Zn 2.5315 3.3904 0.9801
H 0.0000 1.6529 0.9159
H 2.5315 3.4550 3.9050
S 0.0000 0.5108 1.6471
S 2.5315 2.3128 3.1738

---

4.
5
Lattice="-1.2490 0.6932 -3.8361 -3.6223 -1.6951 0.8731 -1.4407 3.6610 1.1307" Properties=species:S:1:pos:R:3 comment="PBE-GGA ZnHS3, relaxed" dos_ef_per_ev_atom=0.693 m_tot_mub_per_cell=0.00 crystal_system=cubic total_energy_ev_per_cell=-12.49 rho_g_cm3=3.94 relative_energy_kcal_per_mol_atoms=25.35 pbc="T T T"
H 0.0000 0.0000 0.0000
Zn -3.1560 1.3296 -0.9162
S -1.8111 -0.8475 0.4365
S -0.7203 1.8305 0.5653
S -0.6245 0.3466 -1.9181

---

5.
5
Lattice="3.6222 0.0000 0.0000 0.0000 3.6222 0.0000 0.0000 0.0000 3.6222" Properties=species:S:1:pos:R:3 comment="PBE-GGA ZnH3S, relaxed" dos_ef_per_ev_atom=0.144 m_tot_mub_per_cell=0.00 crystal_system=cubic total_energy_ev_per_cell=-12.19 rho_g_cm3=3.51 relative_energy_kcal_per_mol_atoms=0.00 pbc="T T T"
H 0.0000 1.8111 0.0000
H 0.0000 0.0000 1.8111
H 1.8111 0.0000 0.0000
Zn 1.8111 1.8111 1.8111
S 0.0000 0.0000 0.0000

---

6.
5
Lattice="-2.0854 -4.1709 -0.4995 0.9279 -1.0013 4.4868 -4.0969 1.8963 1.2705" Properties=species:S:1:pos:R:3 comment="PBE-GGA ZnHS3, relaxed" dos_ef_per_ev_atom=1.037 m_tot_mub_per_cell=2.32 crystal_system=cubic total_energy_ev_per_cell=-11.38 rho_g_cm3=2.62 relative_energy_kcal_per_mol_atoms=30.49 pbc="T T T"
H -2.6272 -1.6379 2.6289
Zn 0.0000 0.0000 0.0000
S 0.4640 -0.5006 2.2434
S -2.0485 0.9482 0.6352
S -1.0427 -2.0854 -0.2497

---

7.
8
Lattice="5.0867 0.0000 0.0000 0.0000 5.0867 0.0000 2.5434 2.5434 4.7188" Properties=species:S:1:pos:R:3 comment="PBE-GGA ZnHS2, relaxed" dos_ef_per_ev_atom=0.625 m_tot_mub_per_cell=0.00 crystal_system=tetragonal total_energy_ev_per_cell=-24.70 rho_g_cm3=3.55 relative_energy_kcal_per_mol_atoms=4.41 pbc="T T T"
H 2.5434 2.5434 0.0000
H 2.5434 5.0867 2.3594
Zn 0.0000 0.0000 0.0000
Zn 5.0867 2.5434 2.3594
S 3.5374 1.2717 1.1797
S 1.5493 3.8150 1.1797
S 3.8150 4.0926 3.5391
S 6.3584 6.0808 3.5391

---

8.
3
Lattice="3.8041 0.0000 0.0000 0.0000 3.8041 0.0000 -1.9020 -1.9020 3.3758" Properties=species:S:1:pos:R:3 comment="PBE-GGA ZnHS, relaxed" dos_ef_per_ev_atom=0.209 m_tot_mub_per_cell=0.00 crystal_system=tetragonal total_energy_ev_per_cell=-8.49 rho_g_cm3=3.35 pbc="T T T"
H 1.9020 1.9020 3.2793
Zn 1.9020 1.9020 1.1663
S 0.0000 0.0000 1.2933

---

9.
5
Lattice="-0.3075 -2.2294 -3.4728 4.0287 -0.9169 0.2319 -0.8943 -3.3637 2.2385" Properties=species:S:1:pos:R:3 comment="PBE-GGA Zn3HS, relaxed" dos_ef_per_ev_atom=0.299 m_tot_mub_per_cell=0.00 crystal_system=cubic total_energy_ev_per_cell=-9.67 rho_g_cm3=5.37 relative_energy_kcal_per_mol_atoms=0.00 pbc="T T T"
H 0.0000 0.0000 0.0000
Zn 2.0144 -0.4584 0.1159
Zn -0.4472 -1.6818 1.1192
Zn -0.1537 -1.1147 -1.7364
S 1.4135 -3.2549 -0.5012

---

10.
5
Lattice="-2.5791 2.7676 -0.0879 -1.9363 -1.7166 2.7610 -0.1407 2.5862 4.1024" Properties=species:S:1:pos:R:3 comment="PBE-GGA Zn2H2S, relaxed" dos_ef_per_ev_atom=0.371 m_tot_mub_per_cell=0.00 crystal_system=tetragonal total_energy_ev_per_cell=-11.74 rho_g_cm3=4.73 relative_energy_kcal_per_mol_atoms=3.94 pbc="T T T"
H -1.5380 1.2261 2.2768
H -3.1181 2.4111 4.4987
Zn -2.4887 2.9397 2.6755
Zn -2.1673 0.6975 4.1000
S 0.0000 0.0000 0.0000

---

11.
5
Lattice="-3.4850 0.6692 -1.3446 -1.3800 -0.0860 3.5340 0.5928 3.7343 0.3223" Properties=species:S:1:pos:R:3 comment="PBE-GGA ZrH3S, relaxed" dos_ef_per_ev_atom=0.665 m_tot_mub_per_cell=0.00 crystal_system=cubic total_energy_ev_per_cell=-22.11 rho_g_cm3=3.84 relative_energy_kcal_per_mol_atoms=0.00 pbc="T T T"
H -0.6900 -0.0430 1.7670
H 0.2964 1.8672 0.1612
H -1.7425 0.3346 -0.6723
S -2.1361 2.1588 1.2559
Zr 0.0000 0.0000 0.0000

---

12.
4
Lattice="-3.1910 1.4005 1.0047 -3.0294 -0.9478 -1.7544 -2.9318 -4.7783 3.8953" Properties=species:S:1:pos:R:3 comment="PBE-GGA Zr2HS, relaxed" dos_ef_per_ev_atom=0.886 m_tot_mub_per_cell=0.00 crystal_system=trigonal total_energy_ev_per_cell=-26.89 rho_g_cm3=4.84 relative_energy_kcal_per_mol_atoms=8.64 pbc="T T T"
H 0.0000 0.0000 0.0000
S -4.5761 -2.1628 1.5728
Zr -2.6888 -3.3826 2.7216
Zr -6.4634 -0.9430 0.4240

---

13.
8
Lattice="3.8129 0.0000 0.0000 0.0000 3.8129 0.0000 1.9065 1.9065 6.7283" Properties=species:S:1:pos:R:3 comment="PBE-GGA ZrH2S, relaxed" dos_ef_per_ev_atom=0.248 m_tot_mub_per_cell=0.00 crystal_system=tetragonal total_energy_ev_per_cell=-42.56 rho_g_cm3=4.25 relative_energy_kcal_per_mol_atoms=7.54 pbc="T T T"
H 3.8113 0.9532 1.6821
H 3.8146 2.8597 1.6821
H 2.8597 1.9081 5.0462
H 4.7661 1.9048 5.0462
S 1.9065 1.9065 0.0000
S 1.9065 3.8129 3.3642
Zr 0.0000 0.0000 0.0000
Zr 3.8129 1.9065 3.3642

---

14.
12
Lattice="3.6835 0.0000 0.0000 1.8418 7.0571 0.6423 1.8418 2.2487 8.7680" Properties=species:S:1:pos:R:3 comment="PBE-GGA Zr2HS3, relaxed" dos_ef_per_ev_atom=0.055 m_tot_mub_per_cell=0.00 crystal_system=monoclinic total_energy_ev_per_cell=-80.54 rho_g_cm3=4.17 pbc="T T T"
Zr 5.5253 5.1639 7.4319
Zr 1.8418 4.1419 1.9784
Zr 3.6835 3.0315 5.0460
Zr 3.6835 6.2743 4.3643
H 3.6835 4.9075 5.9572
H 3.6835 4.3983 3.4531
S 1.8418 2.6919 6.7874
S 5.5253 6.6139 2.6229
S 3.6835 4.8950 0.4492
S 3.6835 4.4108 8.9611
S 5.5253 7.2463 5.9742
S 1.8418 2.0595 3.4361

---

15.
10
Lattice="3.5758 0.0000 0.0000 0.0000 7.0581 -0.3130 -1.7879 -1.3279 7.7671" Properties=species:S:1:pos:R:3 comment="PBE-GGA Zr4HS5, relaxed" dos_ef_per_ev_atom=0.515 m_tot_mub_per_cell=0.00 crystal_system=monoclinic total_energy_ev_per_cell=-70.68 rho_g_cm3=4.49 pbc="T T T"
Zr 0.0000 5.5459 4.8542
Zr 0.0000 5.3602 -0.2347
Zr 1.7879 0.1843 2.5998
Zr 1.7879 0.3701 7.6888
H 1.7879 0.0000 0.0000
S 1.7879 3.7663 5.0171
S 1.7879 0.3971 5.1117
S 0.0000 5.3332 2.3423
S 1.7879 3.5291 -0.1565
S 0.0000 1.9640 2.4369

---

16.
4
Lattice="3.3758 0.0000 0.0000 1.6879 2.9235 0.0000 1.6879 0.9745 6.5682" Properties=species:S:1:pos:R:3 comment="PBE-GGA Zr2HS, relaxed" dos_ef_per_ev_atom=0.491 m_tot_mub_per_cell=0.80 crystal_system=trigonal total_energy_ev_per_cell=-27.10 rho_g_cm3=5.52 relative_energy_kcal_per_mol_atoms=7.45 pbc="T T T"
Zr 1.6879 0.9745 4.6258
Zr 1.6879 0.9745 1.5798
H 3.3758 1.9490 3.8275
S 5.0637 2.9235 6.3874

---

17.
5
Lattice="3.5841 0.0000 0.0000 0.0000 3.5841 0.0000 0.0000 0.0000 3.5841" Properties=species:S:1:pos:R:3 comment="PBE-GGA ZrH3S, relaxed" dos_ef_per_ev_atom=0.783 m_tot_mub_per_cell=0.00 crystal_system=cubic total_energy_ev_per_cell=-19.58 rho_g_cm3=4.56 relative_energy_kcal_per_mol_atoms=11.70 pbc="T T T"
H 0.0000 1.7920 0.0000
H 0.0000 0.0000 1.7920
H 1.7920 0.0000 0.0000
S 0.0000 0.0000 0.0000
Zr 1.7920 1.7920 1.7920

---

18.
11
Lattice="-2.1645 -0.5667 -2.5546 1.8163 -6.0469 -0.1974 -4.8190 1.7312 3.6991" Properties=species:S:1:pos:R:3 comment="PBE-GGA Zr3H6S2, relaxed" dos_ef_per_ev_atom=0.103 m_tot_mub_per_cell=0.00 crystal_system=hexagonal total_energy_ev_per_cell=-61.63 rho_g_cm3=4.87 pbc="T T T"
Zr -2.0995 -1.7454 -0.0910
Zr 0.1188 -4.2818 -1.4078
Zr -4.2687 0.8613 1.1686
H -3.2008 -3.3283 1.1933
H -2.5012 0.2264 -0.1881
H -0.5408 -0.7773 0.6307
H 1.4892 -4.9578 -0.1619
H -0.5474 -2.0639 -1.3354
H -3.9511 1.4194 3.0328
S -0.3955 -3.4542 1.1014
S -2.6072 -0.8615 2.4002

---

19.
8
Lattice="3.6092 -0.0001 -0.0007 0.0001 3.6763 0.0009 0.0023 -0.0024 9.3206" Properties=species:S:1:pos:R:3 comment="PBE-GGA Zr2HS, relaxed" dos_ef_per_ev_atom=0.376 m_tot_mub_per_cell=0.00 crystal_system=orthorhombic total_energy_ev_per_cell=-56.77 rho_g_cm3=5.79 relative_energy_kcal_per_mol_atoms=0.00 pbc="T T T"
Zr 2.5304 1.9811 1.8783
Zr 2.5326 1.9834 7.4375
Zr 0.7256 0.1464 3.8962
Zr 0.7257 0.1434 0.1345
H 0.7257 2.9982 2.0229
H 2.5327 1.1577 9.3111
S 0.7277 0.1401 6.7658
S 2.5304 1.9790 4.5678

---

20.
8
Lattice="3.4622 0.0000 0.0000 0.0000 4.8558 0.0000 0.0000 0.0000 5.2819" Properties=species:S:1:pos:R:3 comment="PBE-GGA ZrH2S, relaxed" dos_ef_per_ev_atom=0.018 m_tot_mub_per_cell=0.00 crystal_system=orthorhombic total_energy_ev_per_cell=-45.17 rho_g_cm3=4.69 relative_energy_kcal_per_mol_atoms=0.00 pbc="T T T"
Zr 0.0000 2.4279 1.1006
Zr 1.7311 0.0000 4.1813
H 0.0000 1.0716 4.7464
H 0.0000 3.7842 4.7464
H 1.7311 1.3563 0.5355
H 1.7311 3.4995 0.5355
S 0.0000 0.0000 2.2172
S 1.7311 2.4279 3.0647

---

21.
4
Lattice="-3.5078 -2.4083 1.0962 -0.5713 -1.2806 4.1641 -3.2103 1.7702 2.4221" Properties=species:S:1:pos:R:3 comment="PBE-GGA Zr2HS, relaxed" dos_ef_per_ev_atom=0.443 m_tot_mub_per_cell=0.00 crystal_system=cubic total_energy_ev_per_cell=-26.42 rho_g_cm3=5.97 relative_energy_kcal_per_mol_atoms=11.33 pbc="T T T"
H 0.0000 0.0000 0.0000
S -3.6447 -0.9593 3.8412
Zr -1.8223 -0.4797 1.9206
Zr -5.4670 -1.4390 5.7618

---

22.
4
Lattice="-0.2755 3.8148 -1.5473 -1.1599 0.5574 -3.9200 -3.2762 1.5993 -0.9745" Properties=species:S:1:pos:R:3 comment="PBE-GGA ZrH2S, relaxed" dos_ef_per_ev_atom=0.289 m_tot_mub_per_cell=0.00 crystal_system=trigonal total_energy_ev_per_cell=-20.03 rho_g_cm3=4.82 relative_energy_kcal_per_mol_atoms=14.73 pbc="T T T"
H -1.3891 1.5036 -1.5464
H -3.3225 4.4679 -4.8954
S -2.3558 2.9857 -3.2209
Zr 0.0000 0.0000 0.0000

---

23.
8
Lattice="-4.2649 0.9899 -4.4461 3.3416 -3.4591 -3.9756 -2.0078 -3.7810 -3.2947" Properties=species:S:1:pos:R:3 comment="PBE-GGA Zr2HS, relaxed" dos_ef_per_ev_atom=1.013 m_tot_mub_per_cell=0.00 crystal_system=tetragonal total_energy_ev_per_cell=-55.10 rho_g_cm3=5.90 relative_energy_kcal_per_mol_atoms=4.82 pbc="T T T"
H -0.4617 -1.2346 -4.2108
H 0.4361 -4.2374 -5.7405
S 0.0000 0.0000 0.0000
S -3.3671 -2.0129 -5.9758
Zr -2.4966 -0.8177 -3.8355
Zr 0.8003 -2.9247 -4.1281
Zr -1.6537 -3.9671 -5.8651
Zr -2.5121 -4.7910 -9.6039

---

24.
5
Lattice="-0.9691 2.1489 -4.2149 -1.3946 -4.2410 -1.8416 -4.5209 0.8476 1.4716" Properties=species:S:1:pos:R:3 comment="PBE-GGA Sb4H, relaxed" dos_ef_per_ev_atom=0.720 m_tot_mub_per_cell=0.00 crystal_system=cubic total_energy_ev_per_cell=-17.40 rho_g_cm3=7.20 pbc="T T T"
H -3.4423 -0.6222 -2.2924
Sb 0.0000 0.0000 0.0000
Sb -2.7450 1.4983 -1.3716
Sb -2.9577 -1.6967 -0.1850
Sb -1.1819 -1.0460 -3.0282

---

25.
4
Lattice="3.3552 0.0000 0.0000 0.0000 5.5638 0.0000 -1.6776 -2.7819 4.9614" Properties=species:S:1:pos:R:3 comment="PBE-GGA Sb3H, relaxed" dos_ef_per_ev_atom=0.370 m_tot_mub_per_cell=0.00 crystal_system=orthorhombic total_energy_ev_per_cell=-14.09 rho_g_cm3=6.57 pbc="T T T"
Sb 0.0000 2.3195 3.4829
Sb 1.6776 2.3166 0.0000
Sb 1.6776 -0.4624 1.4785
H 0.0000 5.0994 0.0000

---

26.
9
Lattice="-6.1867 4.2280 -4.4878 3.1446 -7.7223 -3.1115 -2.6989 -3.6645 0.2687" Properties=species:S:1:pos:R:3 comment="PBE-GGA Sb8H, relaxed" dos_ef_per_ev_atom=0.206 m_tot_mub_per_cell=0.00 crystal_system=monoclinic total_energy_ev_per_cell=-35.49 rho_g_cm3=6.21 pbc="T T T"
Sb -4.0193 -4.9114 -3.3365
Sb -2.5002 -8.7334 -4.7384
Sb -5.6256 -6.5975 -7.0052
Sb -7.2662 -2.6641 -5.2434
Sb -1.4796 -4.2413 -1.9996
Sb 0.0391 -8.0631 -3.4007
Sb -2.9007 -6.0822 -5.9816
Sb -4.5412 -2.1491 -4.2205
H -2.2127 -0.7934 -1.9471

---

27.
5
Lattice="5.4642 0.0000 0.0000 0.0000 5.4642 0.0000 0.0000 0.0000 5.4642" Properties=species:S:1:pos:R:3 comment="PBE-GGA ScSb3H, relaxed" dos_ef_per_ev_atom=0.372 m_tot_mub_per_cell=0.91 crystal_system=cubic total_energy_ev_per_cell=-19.08 rho_g_cm3=4.19 relative_energy_kcal_per_mol_atoms=11.32 pbc="T T T"
Sc 0.0000 0.0000 0.0000
Sb 0.0000 2.7321 0.0000
Sb 0.0000 0.0000 2.7321
Sb 2.7321 0.0000 0.0000
H 2.7321 2.7321 2.7321